Cs2MgVI6 (GGA-PBE, optimized geometry); crystal system = trigonal; ΔE to the lowest computed polymorph = 0.00 eV per formula unit
1.0
4.157 2.400 13.808
-4.157 2.400 13.808
0.000 -4.800 13.808
Cs Mg V I
4 2 2 12
direct
0.120 0.120 0.120 Cs
0.294 0.294 0.294 Cs
0.706 0.706 0.706 Cs
0.880 0.880 0.880 Cs
0.000 0.000 0.000 Mg
0.500 0.500 0.500 Mg
0.416 0.416 0.416 V
0.584 0.584 0.584 V
0.137 0.615 0.615 I
0.210 0.210 0.705 I
0.210 0.705 0.210 I
0.295 0.790 0.790 I
0.385 0.385 0.863 I
0.385 0.863 0.385 I
0.615 0.137 0.615 I
0.615 0.615 0.137 I
0.705 0.210 0.210 I
0.790 0.295 0.790 I
0.790 0.790 0.295 I
0.863 0.385 0.385 I

***

Cs2MgVI6 (GGA-PBE, optimized geometry); crystal system = cubic; ΔE to the lowest computed polymorph = 0.44 eV per formula unit
1.0
0.000 5.848 5.848
5.848 0.000 5.848
5.848 5.848 0.000
Cs Mg V I
2 1 1 6
direct
0.250 0.250 0.250 Cs
0.750 0.750 0.750 Cs
0.000 0.000 0.000 Mg
0.500 0.500 0.500 V
0.253 0.253 0.747 I
0.253 0.747 0.253 I
0.253 0.747 0.747 I
0.747 0.253 0.253 I
0.747 0.253 0.747 I
0.747 0.747 0.253 I

***

Cs6MnI8 (GGA-PBE, optimized geometry); crystal system = trigonal
1.0
5.618 3.243 7.327
-5.618 3.243 7.327
0.000 -6.487 7.327
Cs Mn I
6 1 8
direct
0.015 0.442 0.800 Cs
0.200 0.985 0.558 Cs
0.442 0.800 0.015 Cs
0.558 0.200 0.985 Cs
0.800 0.015 0.442 Cs
0.985 0.558 0.200 Cs
0.500 0.500 0.500 Mn
0.152 0.152 0.152 I
0.210 0.645 0.411 I
0.355 0.589 0.790 I
0.411 0.210 0.645 I
0.589 0.790 0.355 I
0.645 0.411 0.210 I
0.790 0.355 0.589 I
0.848 0.848 0.848 I

***

ΔE_f (raw): -1042; -998; -1294 (meV/atom)
Raw total energy: -3.21; -3.17; -3.07 (eV per atom)